## Hf3MgZn7 (PBE)

Data for a relaxed Hf3MgZn7 crystal.

Unit cell a=9.775 b=9.775 c=13.063 alpha=90.00 beta=90.00 gamma=161.92
Element x y z (fractional)
1 Hf 0.117 0.883 0.547
2 Hf 0.117 0.883 0.953
3 Hf 0.257 0.743 0.250
4 Hf 0.743 0.257 0.750
5 Hf 0.883 0.117 0.047
6 Hf 0.883 0.117 0.453
7 Mg 0.028 0.972 0.250
8 Mg 0.972 0.028 0.750
9 Zn 0.262 0.738 0.571
10 Zn 0.262 0.738 0.929
11 Zn 0.371 0.629 0.654
12 Zn 0.371 0.629 0.846
13 Zn 0.403 0.597 0.250
14 Zn 0.493 0.507 0.589
15 Zn 0.493 0.507 0.911
16 Zn 0.507 0.493 0.089
17 Zn 0.507 0.493 0.411
18 Zn 0.597 0.403 0.750
19 Zn 0.629 0.371 0.154
20 Zn 0.629 0.371 0.346
21 Zn 0.738 0.262 0.071
22 Zn 0.738 0.262 0.429

**Energy of formation from the pure elements**: -0.200 eV per formula unit
**Symmetry**: Cmcm (63)

---

## Hf2MgZn2 (PBE)

Data for a relaxed Hf2MgZn2 crystal.

Unit cell a=7.375 b=7.375 c=3.477 alpha=90.00 beta=90.00 gamma=90.00
Element x y z (fractional)
1 Hf 0.173 0.327 0.000
2 Hf 0.327 0.827 0.000
3 Hf 0.673 0.173 0.000
4 Hf 0.827 0.673 0.000
5 Mg 0.000 0.000 0.500
6 Mg 0.500 0.500 0.500
7 Zn 0.125 0.625 0.500
8 Zn 0.375 0.125 0.500
9 Zn 0.625 0.875 0.500
10 Zn 0.875 0.375 0.500

**Energy of formation from the pure elements**: -0.481 eV per formula unit
**Distance to the lowest polymorph of the same formula**: 0.000 eV/atom
**Symmetry**: P4/mbm (127)

---

## HfMgZn3 (PBE)

Data for a relaxed HfMgZn3 crystal.

Unit cell a=12.894 b=12.894 c=4.365 alpha=90.00 beta=90.00 gamma=166.14
Element x y z (fractional)
1 Hf 0.072 0.928 0.750
2 Hf 0.928 0.072 0.250
3 Mg 0.216 0.784 0.250
4 Mg 0.784 0.216 0.750
5 Zn 0.327 0.673 0.250
6 Zn 0.378 0.622 0.750
7 Zn 0.476 0.524 0.750
8 Zn 0.524 0.476 0.250
9 Zn 0.622 0.378 0.250
10 Zn 0.673 0.327 0.750

**Energy of formation from the pure elements**: -0.818 eV per formula unit
**Distance to the lowest polymorph of the same formula**: 0.000 eV/atom
**Symmetry**: Cmcm (63)

---

## HfMgZn2 (PBE)

Data for a relaxed HfMgZn2 crystal.

Unit cell a=3.006 b=3.006 c=28.785 alpha=90.00 beta=90.00 gamma=120.00
Element x y z (fractional)
1 Hf 0.000 0.000 0.000
2 Hf 0.333 0.667 0.667
3 Hf 0.667 0.333 0.333
4 Mg 0.000 0.000 0.500
5 Mg 0.333 0.667 0.167
6 Mg 0.667 0.333 0.833
7 Zn 0.000 0.000 0.249
8 Zn 0.000 0.000 0.751
9 Zn 0.333 0.667 0.417
10 Zn 0.333 0.667 0.916
11 Zn 0.667 0.333 0.084
12 Zn 0.667 0.333 0.583

**Energy of formation from the pure elements**: 0.066 eV per formula unit
**Symmetry**: R-3m (166)

---

no.,energy (eV/atom)
1,-3.69
2,-4.91
3,-3.24
4,-3.51